## K2MnAs2O6 (PBE+U)

Data for an optimized crystal structure of K2MnAs2O6.

Values from the calculation:
D(E_F) ... 0.0 states/eV per cell
Calculated total energy ... -65.51 eV per formula unit
V ... 15.9 Å³/atom

Cell lengths 5.8737, 5.8689, 6.8453 Å; angles 116.53, 90.00, 120.03 degrees
With the nearest neighbours (Å) after each atom.
Element x y z (fractional)
K  0.7090  0.4180  0.1872  9 O 2.84-3.12
K  0.2910  0.5820  0.8128  9 O 2.84-3.12
Mn  0.5000  0.0000  0.5000  6 O 2.20-2.26
As  0.9526  0.9052  0.7921  3 O 1.71-1.73
As  0.0474  0.0948  0.2079  3 O 1.71-1.73
O  0.7562  0.5124  0.6394  1 As 1.71
O  0.2112  0.9349  0.2439  1 As 1.73
O  0.2764  0.0651  0.7561  1 As 1.73
O  0.7888  0.0651  0.7561  1 As 1.73
O  0.7236  0.9349  0.2439  1 As 1.73
O  0.2438  0.4876  0.3606  1 As 1.71